(1)
HgIr2Cl: single point on PBEsol structure, SCAN.

Crystal system = orthorhombic
Excess energy over the best structure of this formula in the dataset = 403.0 meV/atom
Formation energy without anion corrections = 5.1 eV/f.u.
Magnetization = 0.0 μB/f.u.

Lattice parameters (Å, degrees): 5.7710 7.9102 2.8315 90.00 90.00 90.00
Closest atoms and distances in Å follow each position.
Positions (direct):
Hg1 0.0000 0.0000 0.0000  8 Ir 2.83, 2 Hg 2.83, 2 Cl 2.89
Hg2 0.5000 0.5000 0.0000  8 Ir 2.83, 2 Hg 2.83, 2 Cl 2.89
Ir1 0.2500 0.2500 0.5000  4 Hg 2.83, 4 Cl 2.83, 4 Ir 2.83-2.89
Ir2 0.2500 0.7500 0.5000  4 Hg 2.83, 4 Cl 2.83, 4 Ir 2.83-2.89
Ir3 0.7500 0.2500 0.5000  4 Hg 2.83, 4 Cl 2.83, 4 Ir 2.83-2.89
Ir4 0.7500 0.7500 0.5000  4 Hg 2.83, 4 Cl 2.83, 4 Ir 2.83-2.89
Cl1 0.0000 0.5000 0.0000  8 Ir 2.83, 2 Cl 2.83, 2 Hg 2.89
Cl2 0.5000 0.0000 0.0000  8 Ir 2.83, 2 Cl 2.83, 2 Hg 2.89

---

(2)
InReSi2: single point on PBEsol structure, SCAN.

Crystal system = tetragonal
Formation energy without anion corrections = 2.9 eV/f.u.
Magnetization = 0.0 μB/f.u.

Lattice parameters (Å, degrees): 3.9236 3.9236 7.9924 90.00 90.00 90.00
Closest atoms and distances in Å follow each position.
Positions (direct):
In1 0.0000 0.0000 0.0000  8 Si 2.77-2.80, 4 Re 2.80
In2 0.5000 0.5000 0.5000  8 Si 2.77-2.80, 4 Re 2.80
Re1 0.0000 0.5000 0.2500  8 Si 2.77-2.80, 4 In 2.80
Re2 0.5000 0.0000 0.7500  8 Si 2.77-2.80, 4 In 2.80
Si1 0.0000 0.0000 0.5000  4 In 2.77, 4 Re 2.80, 4 Si 2.80
Si2 0.0000 0.5000 0.7500  4 Re 2.77, 4 In 2.80, 4 Si 2.80
Si3 0.5000 0.0000 0.2500  4 Re 2.77, 4 In 2.80, 4 Si 2.80
Si4 0.5000 0.5000 0.0000  4 In 2.77, 4 Re 2.80, 4 Si 2.80

---

(3)
CdCoCl2: single point on PBEsol structure, SCAN.

Crystal system = trigonal
Excess energy over the best structure of this formula in the dataset = 0.0 meV/atom
Formation energy without anion corrections = -2.0 eV/f.u.
Magnetization = 1.0 μB/f.u.

Lattice parameters (Å, degrees): 3.3885 3.3885 23.3735 90.00 90.00 120.00
Closest atoms and distances in Å follow each position.
Positions (direct):
Cd1 0.0000 0.0000 0.0000  3 Cl 2.61, 3 Co 2.75
Cd2 0.3333 0.6667 0.6667  3 Cl 2.61, 3 Co 2.75
Cd3 0.6667 0.3333 0.3333  3 Cl 2.61, 3 Co 2.75
Co1 0.0000 0.0000 0.7492  3 Cl 2.22
Co2 0.3333 0.6667 0.4159  3 Cl 2.22
Co3 0.6667 0.3333 0.0825  3 Cl 2.22
Cl1 0.0000 0.0000 0.2594  3 Cd 2.61
Cl2 0.0000 0.0000 0.4609  3 Co 2.22
Cl3 0.3333 0.6667 0.1275  3 Co 2.22
Cl4 0.3333 0.6667 0.9260  3 Cd 2.61
Cl5 0.6667 0.3333 0.5927  3 Cd 2.61
Cl6 0.6667 0.3333 0.7942  3 Co 2.22

---

(4)
Mn2CoIr: single point on PBEsol structure, SCAN.

Crystal system = orthorhombic
Formation enthalpy at 0 K = -0.06 eV/atom
Magnetization = 2.9 μB/f.u.

Lattice parameters (Å, degrees): 2.5584 3.5169 5.0335 90.00 90.00 90.00
Closest atoms and distances in Å follow each position.
Positions (direct):
Mn1 0.0000 0.0000 0.2311  3 Mn 2.33-2.56, 4 Co 2.47, 4 Ir 2.56
Mn2 0.0000 0.0000 0.7689  3 Mn 2.33-2.56, 4 Co 2.47, 4 Ir 2.56
Co1 0.5000 0.5000 0.0000  8 Mn 2.47, 2 Ir 2.52, 2 Co 2.56
Ir1 0.5000 0.5000 0.5000  2 Co 2.52, 2 Ir 2.56, 8 Mn 2.56

---

(5)
MgAgPt2: single point on PBEsol structure, SCAN.

Crystal system = tetragonal
Formation enthalpy at 0 K = -0.41 eV/atom
Magnetization = 0.0 μB/f.u.

Lattice parameters (Å, degrees): 4.0089 4.0089 7.7989 90.00 90.00 90.00
Closest atoms and distances in Å follow each position.
Positions (direct):
Mg1 0.0000 0.0000 0.0000  8 Pt 2.80-2.83, 4 Ag 2.80
Mg2 0.5000 0.5000 0.5000  8 Pt 2.80-2.83, 4 Ag 2.80
Ag1 0.0000 0.5000 0.7500  4 Mg 2.80, 8 Pt 2.80-2.83
Ag2 0.5000 0.0000 0.2500  4 Mg 2.80, 8 Pt 2.80-2.83
Pt1 0.0000 0.0000 0.5000  4 Pt 2.80, 4 Ag 2.80, 4 Mg 2.83
Pt2 0.0000 0.5000 0.2500  4 Mg 2.80, 4 Pt 2.80, 4 Ag 2.83
Pt3 0.5000 0.0000 0.7500  4 Mg 2.80, 4 Pt 2.80, 4 Ag 2.83
Pt4 0.5000 0.5000 0.0000  4 Pt 2.80, 4 Ag 2.80, 4 Mg 2.83

---

(6)
AlReHg2: single point on PBEsol structure, SCAN.

Crystal system = tetragonal
Formation enthalpy at 0 K = 0.63 eV/atom
Magnetization = 0.1 μB/f.u.

Lattice parameters (Å, degrees): 3.8815 3.8815 9.1371 90.00 90.00 90.00
Closest atoms and distances in Å follow each position.
Positions (direct):
Al1 0.0000 0.0000 0.0000  4 Re 2.74, 8 Hg 3.00
Al2 0.5000 0.5000 0.5000  4 Re 2.74, 8 Hg 3.00
Re1 0.0000 0.0000 0.5000  4 Al 2.74, 8 Hg 3.00
Re2 0.5000 0.5000 0.0000  4 Al 2.74, 8 Hg 3.00
Hg1 0.0000 0.5000 0.2500  4 Hg 2.74, 4 Re 3.00, 4 Al 3.00
Hg2 0.0000 0.5000 0.7500  4 Hg 2.74, 4 Re 3.00, 4 Al 3.00
Hg3 0.5000 0.0000 0.2500  4 Hg 2.74, 4 Re 3.00, 4 Al 3.00
Hg4 0.5000 0.0000 0.7500  4 Hg 2.74, 4 Re 3.00, 4 Al 3.00

---

(7)
SrCdCl2: single point on PBEsol structure, SCAN.

Crystal system = tetragonal
Excess energy over the best structure of this formula in the dataset = 167.5 meV/atom
Formation energy without anion corrections = -6.1 eV/f.u.
Magnetization = 0.0 μB/f.u.

Lattice parameters (Å, degrees): 4.4059 4.4059 10.3839 90.00 90.00 90.00
Closest atoms and distances in Å follow each position.
Positions (direct):
Sr1 0.0000 0.0000 0.0000  8 Cl 3.12-3.40, 4 Cd 3.40
Sr2 0.5000 0.5000 0.5000  8 Cl 3.12-3.40, 4 Cd 3.40
Cd1 0.0000 0.5000 0.2500  8 Cl 3.12-3.40, 4 Sr 3.40
Cd2 0.5000 0.0000 0.7500  8 Cl 3.12-3.40, 4 Sr 3.40
Cl1 0.0000 0.0000 0.5000  4 Sr 3.12, 4 Cd 3.40, 4 Cl 3.40
Cl2 0.0000 0.5000 0.7500  4 Cd 3.12, 4 Cl 3.40, 4 Sr 3.40
Cl3 0.5000 0.0000 0.2500  4 Cd 3.12, 4 Cl 3.40, 4 Sr 3.40
Cl4 0.5000 0.5000 0.0000  4 Sr 3.12, 4 Cd 3.40, 4 Cl 3.40

---

(8)
KNaFe3: single point on PBEsol structure, SCAN.

Crystal system = cubic
Formation enthalpy at 0 K = 2.26 eV/atom
Magnetization = 8.8 μB/f.u.

Lattice parameters (Å, degrees): 4.6748 4.6748 4.6748 90.00 90.00 90.00
Closest atoms and distances in Å follow each position.
Positions (direct):
K1 0.0000 0.0000 0.0000  6 Fe 2.34
Na1 0.5000 0.5000 0.5000  12 Fe 3.31
Fe1 0.0000 0.0000 0.5000  2 K 2.34
Fe2 0.0000 0.5000 0.0000  2 K 2.34
Fe3 0.5000 0.0000 0.0000  2 K 2.34

---

(9)
SiSeCl2: single point on PBEsol structure, SCAN.

Crystal system = tetragonal
Excess energy over the best structure of this formula in the dataset = 365.1 meV/atom
Formation energy without anion corrections = 2.2 eV/f.u.
Magnetization = 0.7 μB/f.u.

Lattice parameters (Å, degrees): 4.2567 4.2567 8.2798 90.00 90.00 90.00
Closest atoms and distances in Å follow each position.
Positions (direct):
Si1 0.0000 0.0000 0.0000  8 Cl 2.97, 4 Se 3.01
Si2 0.5000 0.5000 0.5000  8 Cl 2.97, 4 Se 3.01
Se1 0.0000 0.0000 0.5000  8 Cl 2.97, 4 Si 3.01
Se2 0.5000 0.5000 0.0000  8 Cl 2.97, 4 Si 3.01
Cl1 0.0000 0.5000 0.2500  4 Se 2.97, 4 Si 2.97, 4 Cl 3.01
Cl2 0.0000 0.5000 0.7500  4 Se 2.97, 4 Si 2.97, 4 Cl 3.01
Cl3 0.5000 0.0000 0.2500  4 Se 2.97, 4 Si 2.97, 4 Cl 3.01
Cl4 0.5000 0.0000 0.7500  4 Se 2.97, 4 Si 2.97, 4 Cl 3.01

---

(10)
BeCrAg2: single point on PBEsol structure, SCAN.

Crystal system = tetragonal
Formation enthalpy at 0 K = 0.27 eV/atom
Magnetization = 4.1 μB/f.u.

Lattice parameters (Å, degrees): 3.9224 3.9224 3.7662 90.00 90.00 90.00
Closest atoms and distances in Å follow each position.
Positions (direct):
Be1 0.0000 0.0000 0.0000  8 Ag 2.72, 4 Cr 2.77
Cr1 0.5000 0.5000 0.0000  8 Ag 2.72, 4 Be 2.77
Ag1 0.0000 0.5000 0.5000  4 Cr 2.72, 4 Be 2.72, 4 Ag 2.77
Ag2 0.5000 0.0000 0.5000  4 Cr 2.72, 4 Be 2.72, 4 Ag 2.77

---

(11)
Ta2AgRh: single point on PBEsol structure, SCAN.

Crystal system = monoclinic
Formation enthalpy at 0 K = 0.11 eV/atom
Magnetization = 0.0 μB/f.u.

Lattice parameters (Å, degrees): 9.5112 2.8826 4.8595 90.00 102.49 90.00
Closest atoms and distances in Å follow each position.
Positions (direct):
Ta1 0.2418 0.0000 0.2422  3 Rh 2.75-2.94, 6 Ta 2.79-2.88, 3 Ag 2.85-2.89
Ta2 0.2582 0.5000 0.7578  3 Rh 2.75-2.94, 6 Ta 2.79-2.88, 3 Ag 2.85-2.89
Ta3 0.7418 0.5000 0.2422  3 Rh 2.75-2.94, 6 Ta 2.79-2.88, 3 Ag 2.85-2.89
Ta4 0.7582 0.0000 0.7578  3 Rh 2.75-2.94, 6 Ta 2.79-2.88, 3 Ag 2.85-2.89
Ag1 0.0000 0.0000 0.5000  4 Rh 2.83, 6 Ta 2.85-2.89, 2 Ag 2.88
Ag2 0.5000 0.5000 0.5000  4 Rh 2.83, 6 Ta 2.85-2.89, 2 Ag 2.88
Rh1 0.0000 0.5000 0.0000  6 Ta 2.75-2.94, 4 Ag 2.83, 2 Rh 2.88
Rh2 0.5000 0.0000 0.0000  6 Ta 2.75-2.94, 4 Ag 2.83, 2 Rh 2.88

---

(12)
TaRuW: single point on PBEsol structure, SCAN.

Crystal system = trigonal
Excess energy over the best structure of this formula in the dataset = 195.0 meV/atom
Formation enthalpy at 0 K = 0.16 eV/atom
Magnetization = 0.0 μB/f.u.

Lattice parameters (Å, degrees): 2.8132 2.8132 6.8700 90.00 90.00 120.00
Closest atoms and distances in Å follow each position.
Positions (direct):
Ta1 0.0000 0.0000 0.0000  3 Ru 2.79, 6 Ta 2.81, 3 W 2.96
Ru1 0.6667 0.3333 0.3309  3 W 2.67, 3 Ta 2.79, 6 Ru 2.81
W1 0.3333 0.6667 0.6398  3 Ru 2.67, 6 W 2.81, 3 Ta 2.96

---

Repeat the second record exactly.
InReSi2: single point on PBEsol structure, SCAN.

Crystal system = tetragonal
Formation energy without anion corrections = 2.9 eV/f.u.
Magnetization = 0.0 μB/f.u.

Lattice parameters (Å, degrees): 3.9236 3.9236 7.9924 90.00 90.00 90.00
Closest atoms and distances in Å follow each position.
Positions (direct):
In1 0.0000 0.0000 0.0000  8 Si 2.77-2.80, 4 Re 2.80
In2 0.5000 0.5000 0.5000  8 Si 2.77-2.80, 4 Re 2.80
Re1 0.0000 0.5000 0.2500  8 Si 2.77-2.80, 4 In 2.80
Re2 0.5000 0.0000 0.7500  8 Si 2.77-2.80, 4 In 2.80
Si1 0.0000 0.0000 0.5000  4 In 2.77, 4 Re 2.80, 4 Si 2.80
Si2 0.0000 0.5000 0.7500  4 Re 2.77, 4 In 2.80, 4 Si 2.80
Si3 0.5000 0.0000 0.2500  4 Re 2.77, 4 In 2.80, 4 Si 2.80
Si4 0.5000 0.5000 0.0000  4 In 2.77, 4 Re 2.80, 4 Si 2.80